# NaAlO

A relaxed structure of NaAlO (PBE-GGA, the Alexandria database).

Computed properties:
* crystal system: monoclinic
* uncorrected formation energy: -401 kJ/mol of formula units
* symmetry: Cm
* energy relative to the lowest polymorph listed for this composition: 0.085 eV/atom

Lattice parameters (Å, degrees): 5.5745 5.5745 6.2760 119.38 119.38 33.21
Last column: nearest neighbours and their distance in Å.
Sites, in units of the cell vectors:
1 Na 0.0000 0.0000 0.0000  2 O 2.39-2.51
2 Na 0.7490 0.7490 0.0549  3 O 2.33-2.42
3 Al 0.2158 0.2158 0.5783  2 O 1.83-1.96
4 Al 0.4640 0.4640 0.5187  3 O 1.84-1.95
5 O 0.0024 0.0024 0.3822  3 Al 1.95-1.96
6 O 0.2633 0.2633 0.3372  2 Al 1.83-1.84

=====

# ZrAl2Pt

A relaxed structure of ZrAl2Pt (PBE-GGA, the Alexandria database).

Computed properties:
* crystal system: monoclinic
* ΔE_f: -0.622 eV/atom
* symmetry: Pm

Lattice parameters (Å, degrees): 3.0037 4.3252 5.5795 90.00 105.47 90.00
Last column: nearest neighbours and their distance in Å.
Sites, in units of the cell vectors:
1 Zr 0.0000 0.0000 0.0000  3 Al 2.78-3.00, 4 Pt 2.92, 2 Zr 3.00
2 Al 0.2591 0.0000 0.5165  2 Pt 2.54, 1 Zr 2.78, 2 Al 2.84
3 Al 0.6578 0.5000 0.3156  3 Pt 2.84-2.96, 6 Al 2.84-3.00, 4 Zr 3.13
4 Pt 0.3850 0.5000 0.7646  3 Al 2.54-2.84

=====

| no. | theoretical density (Mg/m³) |
| --- | --- |
| 1 | 2.39 |
| 2 | 8.09 |